[1]
Material: LaMnPb
Method: DFT, PBE
State: relaxed

Cell: 7.3832 7.3832 7.3832 Å, 90.00 90.00 90.00°
Fractional coordinates of all 12 atoms:
La: 0.0000 0.0000 0.0000
La: 0.0000 0.5000 0.5000
La: 0.5000 0.0000 0.5000
La: 0.5000 0.5000 0.0000
Mn: 0.2500 0.2500 0.2500
Mn: 0.2500 0.7500 0.7500
Mn: 0.7500 0.2500 0.7500
Mn: 0.7500 0.7500 0.2500
Pb: 0.2500 0.2500 0.7500
Pb: 0.2500 0.7500 0.2500
Pb: 0.7500 0.2500 0.2500
Pb: 0.7500 0.7500 0.7500

Output
As for the formation energy: 0.516 eV per atom.


[2]
Material: Li3Ca2MnNi12
Method: DFT, PBE
State: relaxed

Cell: 11.1309 11.1309 11.1309 Å, 27.08 27.08 27.08°
Fractional coordinates of all 18 atoms:
Li: 0.0000 0.5000 0.5000
Li: 0.5000 0.0000 0.5000
Li: 0.5000 0.5000 0.0000
Ca: 0.1432 0.1432 0.1432
Ca: 0.8568 0.8568 0.8568
Mn: 0.5000 0.5000 0.5000
Ni: 0.0970 0.0970 0.6428
Ni: 0.0970 0.6428 0.0970
Ni: 0.1214 0.5998 0.5998
Ni: 0.3572 0.9030 0.9030
Ni: 0.4002 0.4002 0.8786
Ni: 0.4002 0.8786 0.4002
Ni: 0.5998 0.1214 0.5998
Ni: 0.5998 0.5998 0.1214
Ni: 0.6428 0.0970 0.0970
Ni: 0.8786 0.4002 0.4002
Ni: 0.9030 0.3572 0.9030
Ni: 0.9030 0.9030 0.3572

Output
As for the formation energy: 0.238 eV per atom.


[3]
Material: InTcCl3
Method: DFT, PBE
State: relaxed

Cell: 5.0101 5.0101 5.0101 Å, 90.00 90.00 90.00°
Fractional coordinates of all 5 atoms:
In: 0.0000 0.0000 0.0000
Tc: 0.5000 0.5000 0.5000
Cl: 0.0000 0.5000 0.5000
Cl: 0.5000 0.0000 0.5000
Cl: 0.5000 0.5000 0.0000

Output
The uncorrected formation energy comes out at -0.3607 eV/atom. As for the energy above the most stable polymorph in this dataset: 0.0 meV/atom.


[4]
Material: LiPm3Pb4
Method: DFT, PBE
State: relaxed

Cell: 11.5067 6.4931 6.3975 Å, 90.00 90.00 90.00°
Fractional coordinates of all 16 atoms:
Li: 0.0000 0.0842 0.0000
Li: 0.5000 0.9158 0.5000
Pm: 0.0000 0.5924 0.2970
Pm: 0.2439 0.8181 0.8043
Pm: 0.2561 0.1819 0.3043
Pm: 0.5000 0.4076 0.7970
Pm: 0.7439 0.1819 0.3043
Pm: 0.7561 0.8181 0.8043
Pb: 0.0000 0.0692 0.4849
Pb: 0.0000 0.6211 0.7981
Pb: 0.2129 0.3075 0.8190
Pb: 0.2871 0.6925 0.3190
Pb: 0.5000 0.3789 0.2981
Pb: 0.5000 0.9308 0.9849
Pb: 0.7129 0.6925 0.3190
Pb: 0.7871 0.3075 0.8190

Output
As for the formation energy: -0.346 eV per atom.


Number 4 is which compound?
LiPm3Pb4